Density functional theory data (GGA-PBE) for a geometry-optimized Tb5PrAg4 structure.

Results
- size of the total moment (μB/f.u.) = 0.00
- space-group type = P4/mmm (123)
- E_form (eV per atom) = -0.246
- E_tot (eV/atom) = -4.1797

Cell and atoms, written as POSCAR:
```
Tb5PrAg4
1.0
-2.624 1.514 -2.000
-2.292 -0.273 2.802
5.586 18.041 6.331
Tb Pr Ag
5 1 4
Direct
0.500 0.500 0.130
0.500 0.500 0.314
0.500 0.500 0.500
0.500 0.500 0.686
0.500 0.500 0.870
0.000 0.000 0.000
0.000 0.000 0.221
0.000 0.000 0.407
0.000 0.000 0.593
0.000 0.000 0.779
```